An optimized crystal structure of Li3MnF6. Source: Alexandria via LeMat-Bulk, functional PBE+U.

## Properties
distance to the lowest polymorph of the same formula = 412 meV per atom
final energy = -0.1763 hartree per atom

Cell lengths 5.4254, 5.4254, 5.4254 Å; angles 60.00, 60.00, 60.00 degrees
With the nearest neighbours (Å) after each atom.
Fractional positions:
Li (0.0000, 0.0000, 0.0000)  6 F 1.95
Li (0.2500, 0.2500, 0.2500)  12 F 2.71
Li (0.7500, 0.7500, 0.7500)  12 F 2.71
Mn (0.5000, 0.5000, 0.5000)  6 F 1.89
F (0.2538, 0.2538, 0.7462)  1 Mn 1.89, 1 Li 1.95
F (0.2538, 0.7462, 0.2538)  1 Mn 1.89, 1 Li 1.95
F (0.2538, 0.7462, 0.7462)  1 Mn 1.89, 1 Li 1.95
F (0.7462, 0.2538, 0.2538)  1 Mn 1.89, 1 Li 1.95
F (0.7462, 0.2538, 0.7462)  1 Mn 1.89, 1 Li 1.95
F (0.7462, 0.7462, 0.2538)  1 Mn 1.89, 1 Li 1.95